A relaxed structure of La8Sm3Y. Source: the Alexandria database, functional PBE-GGA.

```
data_La8Sm3Y
_chemical_formula_sum 'La8 Sm3 Y1'
_cell_length_a 8.850
_cell_length_b 8.850
_cell_length_c 8.850
_cell_angle_alpha 134.33
_cell_angle_beta 100.75
_cell_angle_gamma 96.59
_space_group_name_H-M_alt 'P 1'
_space_group_IT_number 1
loop_
_space_group_symop_operation_xyz
'x,y,z'
loop_
_atom_site_label
_atom_site_fract_x
_atom_site_fract_y
_atom_site_fract_z
La1 0.084 0.248 0.836
La2 0.274 0.223 0.497
La3 0.274 0.777 0.052
La4 0.413 0.248 0.164
La5 0.587 0.752 0.836
La6 0.726 0.223 0.948
La7 0.726 0.777 0.503
La8 0.916 0.752 0.164
Sm1 0.260 0.760 0.500
Sm2 0.500 0.500 0.000
Sm3 0.740 0.240 0.500
Y1 0.000 0.000 0.000
```

- M_tot: 0.000 Bohr magnetons per cell
- N(E_F): 18.8 states/eV per cell
- Volume: 38.04 Å³/atom
- DFT formation energy: 0.2924 eV/atom
- Final energy: -4.7110 eV/atom